This record from the Alexandria database describes a relaxed structure of TmZr2Zn. The functional is GGA-PBE.

Output
polymorph energy (0 for the lowest one)	0.36	eV per formula unit
total energy	-5.752	eV per atom
formation energy from the elements	-4	kJ/mol of atoms

Cell lengths 4.4970, 4.4187, 4.4187 Å; angles 90.00, 90.00, 90.00 degrees
With the nearest neighbours (Å) after each atom.
Fractional positions:
Zn1 0.5000 0.5000 0.5000  4 Tm 3.12, 8 Zr 3.15
Tm1 0.5000 0.0000 0.0000  4 Zn 3.12, 8 Zr 3.15
Zr1 0.0000 0.0000 0.5000  4 Zr 3.12, 4 Tm 3.15, 4 Zn 3.15
Zr2 0.0000 0.5000 0.0000  4 Zr 3.12, 4 Tm 3.15, 4 Zn 3.15